[1]
BaRe2N4 | PBE-GGA | optimized geometry

a = 5.6996 Å, b = 5.6996 Å, c = 5.6996 Å
α = 102.25°, β = 102.25°, γ = 125.16°
Last column: nearest neighbours and their distance in Å.
Fractional coordinates of all 7 atoms:
Re: 0.2500 0.7500 0.5000  4 N 1.92
Re: 0.7500 0.2500 0.5000  4 N 1.92
N: 0.1965 0.5000 0.6965  2 Re 1.92
N: 0.5000 0.1965 0.6965  2 Re 1.92
N: 0.8035 0.5000 0.3035  2 Re 1.92
N: 0.5000 0.8035 0.3035  2 Re 1.92
Ba: 0.0000 0.0000 0.0000  8 N 3.41, 8 Re 3.81

Summary:
- Symmetry: I4/mmm

[2]
Ba5ReN8 | PBE-GGA | optimized geometry

a = 7.0156 Å, b = 7.0156 Å, c = 7.0156 Å
α = 103.32°, β = 122.64°, γ = 103.32°
Last column: nearest neighbours and their distance in Å.
Fractional coordinates of all 14 atoms:
Re: 0.2500 0.5000 0.7500  8 N 2.12-2.16
Ba: 0.7533 0.6132 0.6358  4 N 2.65-2.85
Ba: 0.8599 0.8825 0.2467  4 N 2.65-2.85
Ba: 0.0226 0.3868 0.1401  4 N 2.65-2.85
Ba: 0.5000 0.0000 0.5000  8 N 2.84-2.86
Ba: 0.3642 0.1175 0.9774  4 N 2.65-2.85
N: 0.9948 0.1999 0.6639  1 N 1.41
N: 0.4640 0.8001 0.7949  1 N 1.41
N: 0.5178 0.3763 0.7886  1 N 1.41
N: 0.2114 0.7292 0.5878  1 N 1.41
N: 0.3361 0.3309 0.5360  1 N 1.41
N: 0.2051 0.6691 0.0052  1 N 1.41
N: 0.8586 0.2708 0.4822  1 N 1.41
N: 0.4122 0.6237 0.1414  1 N 1.41

Summary:
- Symmetry: I-4

[3]
BaReSN2 | PBE-GGA | optimized geometry

a = 4.2286 Å, b = 4.2286 Å, c = 5.9889 Å
α = 90.00°, β = 90.00°, γ = 90.00°
Last column: nearest neighbours and their distance in Å.
Fractional coordinates of all 5 atoms:
N: 0.5000 0.0000 0.0000  2 Ba 2.11
N: 0.0000 0.5000 0.0000  2 Ba 2.11
Re: 0.5000 0.5000 0.5000  4 S 2.99
Ba: 0.0000 0.0000 0.0000  4 N 2.11
S: 0.0000 0.0000 0.5000  4 Re 2.99, 2 Ba 2.99

Summary:
- Symmetry: P4/mmm
- Energy relative to the lowest polymorph listed for this composition: 3.191 eV/atom

[4]
BaReS2N | PBE-GGA | optimized geometry

a = 5.1595 Å, b = 3.7791 Å, c = 5.1595 Å
α = 90.00°, β = 90.00°, γ = 90.00°
Last column: nearest neighbours and their distance in Å.
Fractional coordinates of all 5 atoms:
N: 0.0000 0.0000 0.0000  2 Re 1.89
S: 0.0000 0.0000 0.5000  2 N 2.58
S: 0.5000 0.0000 0.0000  2 N 2.58
Ba: 0.5000 0.5000 0.5000  8 S 3.20
Re: 0.0000 0.5000 0.0000  2 N 1.89

Summary:
- Symmetry: P4/mmm
- Energy relative to the lowest polymorph listed for this composition: 0.868 eV/atom

[5]
BaReSN2 | PBE-GGA | optimized geometry

a = 4.0706 Å, b = 4.9383 Å, c = 4.0706 Å
α = 90.00°, β = 90.00°, γ = 90.00°
Last column: nearest neighbours and their distance in Å.
Fractional coordinates of all 5 atoms:
N: 0.0000 0.0000 0.5000  2 Re 2.04
N: 0.5000 0.0000 0.0000  2 Re 2.04
Re: 0.0000 0.0000 0.0000  4 N 2.04
Ba: 0.5000 0.5000 0.5000  4 S 2.88, 8 N 3.20
S: 0.0000 0.5000 0.0000  2 Re 2.47

Summary:
- Symmetry: P4/mmm
- Energy relative to the lowest polymorph listed for this composition: 0.000 eV/atom

[6]
BaReS2N | PBE-GGA | optimized geometry

a = 5.0093 Å, b = 5.0093 Å, c = 3.8684 Å
α = 90.00°, β = 90.00°, γ = 90.00°
Last column: nearest neighbours and their distance in Å.
Fractional coordinates of all 5 atoms:
S: 0.0000 0.5000 0.0000  2 Re 2.50
S: 0.5000 0.0000 0.0000  2 Re 2.50
N: 0.0000 0.0000 0.5000  2 Re 1.93
Ba: 0.5000 0.5000 0.5000  8 S 3.16, 4 N 3.54
Re: 0.0000 0.0000 0.0000  2 N 1.93

Summary:
- Symmetry: P4/mmm
- Energy relative to the lowest polymorph listed for this composition: 0.000 eV/atom

[7]
BaReS2N | PBE-GGA | optimized geometry

a = 5.7521 Å, b = 5.7521 Å, c = 4.5964 Å
α = 90.00°, β = 90.00°, γ = 90.00°
Last column: nearest neighbours and their distance in Å.
Fractional coordinates of all 5 atoms:
Ba: 0.0000 0.0000 0.0000  2 N 2.30
S: 0.0000 0.5000 0.0000  2 Ba 2.88
S: 0.5000 0.0000 0.0000  2 Ba 2.88
Re: 0.5000 0.5000 0.5000  8 S 3.68, 4 N 4.07
N: 0.0000 0.0000 0.5000  2 Ba 2.30

Summary:
- Symmetry: P4/mmm
- Energy relative to the lowest polymorph listed for this composition: 2.732 eV/atom

[8]
Ba2ScReN4 | PBE-GGA | optimized geometry

a = 5.4930 Å, b = 6.6081 Å, c = 10.5450 Å
α = 83.79°, β = 74.90°, γ = 65.44°
Last column: nearest neighbours and their distance in Å.
Fractional coordinates of all 16 atoms:
Ba: 0.5717 0.5000 0.8566  6 N 3.02-3.32
Ba: 0.1783 0.0000 0.6434  6 N 3.02-3.32
Ba: 0.8217 0.0000 0.3566  6 N 3.02-3.32
Ba: 0.9283 0.5000 0.1434  6 N 3.02-3.32
Re: 0.5000 0.0000 0.0000  4 N 1.89
Re: 0.2500 0.5000 0.5000  4 N 1.89
N: 0.8903 0.6866 0.5885  1 Re 1.89, 1 Sc 2.10
N: 0.8597 0.8134 0.9115  1 Re 1.89, 1 Sc 2.10
N: 0.3269 0.8134 0.0885  1 Re 1.89, 1 Sc 2.10
N: 0.2288 0.1866 0.9115  1 Re 1.89, 1 Sc 2.10
N: 0.5212 0.3134 0.5885  1 Re 1.89, 1 Sc 2.10
N: 0.4231 0.6866 0.4115  1 Re 1.89, 1 Sc 2.10
N: 0.1654 0.3134 0.4115  1 Re 1.89, 1 Sc 2.10
N: 0.5846 0.1866 0.0885  1 Re 1.89, 1 Sc 2.10
Sc: 0.0000 0.0000 0.0000  4 N 2.10
Sc: 0.7500 0.5000 0.5000  4 N 2.10

Summary:
- Symmetry: Fddd

Number 1: E_form (uncorrected) -0.01 eV/atom. Number 2: E_form (uncorrected) -0.23 eV/atom. Number 3: E_form (uncorrected) 2.87 eV/atom. Number 4: E_form (uncorrected) 0.20 eV/atom. Number 5: E_form (uncorrected) -0.32 eV/atom. Number 6: E_form (uncorrected) -0.66 eV/atom. Number 7: E_form (uncorrected) 2.07 eV/atom. Number 8: E_form (uncorrected) -0.52 eV/atom.